Li5Fe2P2C2O14 | Alexandria | PBE with a Hubbard U | optimized geometry; total DFT energy (no corrections) = -168.30 eV per cell; symmetry = Pm, No. 6
1.0
5.046 0.000 0.000
0.000 6.448 0.000
-0.812 0.000 8.448
Li Fe P C O
5 2 2 2 14
Cartesian
0.000 0.000 0.000
1.728 1.522 7.127
1.728 4.926 7.127
4.598 1.661 2.941
4.598 4.787 2.941
-0.583 3.224 6.422
1.810 0.000 3.710
1.974 3.224 4.372
4.158 0.000 5.790
2.561 0.000 1.183
4.695 3.224 0.412
-0.267 0.000 4.397
-0.409 1.211 6.668
-0.409 5.237 6.668
0.065 3.224 8.426
1.295 0.000 1.435
1.538 1.988 3.587
1.538 4.460 3.587
1.327 3.224 5.808
2.204 0.000 8.413
2.608 0.000 5.715
3.405 0.000 2.180
2.977 3.224 7.872
3.532 3.224 4.629
4.362 3.224 1.632